1.
Nd8Tl2Sn: optimized geometry, PBE.

Calculated values
**Energy of formation from the pure elements**: -238 meV per atom
**D(E_F)**: 25.444 states/eV/cell
**Uncorrected energy**: -4.5000 eV/atom

```
data_Nd8Tl2Sn
_cell_length_a 19.6223
_cell_length_b 5.3813
_cell_length_c 7.1163
_cell_angle_alpha 90.00
_cell_angle_beta 106.12
_cell_angle_gamma 90.00
_symmetry_space_group_name_H-M 'C 1 2/m 1'
_symmetry_Int_Tables_number 12
loop_
_symmetry_equiv_pos_as_xyz
'x,y,z'
'-x,-y,-z'
'-x,y,-z'
'x,-y,z'
'x+1/2,y+1/2,z'
'-x+1/2,-y+1/2,-z'
'-x+1/2,y+1/2,-z'
'x+1/2,-y+1/2,z'
loop_
_atom_site_label
_atom_site_fract_x
_atom_site_fract_y
_atom_site_fract_z
Nd1 0.0118 0.0000 0.2627
Nd2 0.0922 0.5000 0.9714
Nd3 0.1603 0.5000 0.4881
Nd4 0.2074 0.0000 0.8222
Tl1 0.1759 0.0000 0.2443
Sn1 0.0000 0.5000 0.5000
```

---

2.
Nd3TlSn: optimized geometry, PBE.

Calculated values
**Energy of formation from the pure elements**: -424 meV per atom
**D(E_F)**: 20.984 states/eV/cell
**Uncorrected energy**: -4.5584 eV/atom

```
data_Nd3TlSn
_cell_length_a 8.4144
_cell_length_b 6.7576
_cell_length_c 11.7011
_cell_angle_alpha 90.00
_cell_angle_beta 113.61
_cell_angle_gamma 90.00
_symmetry_space_group_name_H-M 'P 1 21/c 1'
_symmetry_Int_Tables_number 14
loop_
_symmetry_equiv_pos_as_xyz
'x,y,z'
'-x,-y,-z'
'-x,y+1/2,-z+1/2'
'x,-y+1/2,z+1/2'
loop_
_atom_site_label
_atom_site_fract_x
_atom_site_fract_y
_atom_site_fract_z
Nd1 0.0026 0.0867 0.2222
Nd2 0.2073 0.6133 0.0465
Nd3 0.4202 0.1562 0.8490
Tl1 0.2045 0.1376 0.0346
Sn1 0.3811 0.6580 0.8388
```

---

3.
Nd12Tl3Sn: optimized geometry, PBE.

Calculated values
**Energy of formation from the pure elements**: -271 meV per atom
**D(E_F)**: 23.272 states/eV/cell
**Uncorrected energy**: -4.5408 eV/atom

```
data_Nd12Tl3Sn
_cell_length_a 4.9847
_cell_length_b 4.9847
_cell_length_c 19.9491
_cell_angle_alpha 90.00
_cell_angle_beta 90.00
_cell_angle_gamma 90.00
_symmetry_space_group_name_H-M 'P 4/m m m'
_symmetry_Int_Tables_number 123
_symmetry_space_group_name_Hall '-P 4 2'
loop_
_atom_site_label
_atom_site_fract_x
_atom_site_fract_y
_atom_site_fract_z
Nd1 0.0000 0.0000 0.0000
Nd2 0.0000 0.0000 0.2488
Nd3 0.0000 0.0000 0.5000
Nd4 0.0000 0.5000 0.1225
Nd5 0.0000 0.5000 0.3743
Tl1 0.5000 0.5000 0.2495
Tl2 0.5000 0.5000 0.5000
Sn1 0.5000 0.5000 0.0000
```

---

4.
Nd3TlSn2: optimized geometry, PBE.

Calculated values
**Energy of formation from the pure elements**: -553 meV per atom
**D(E_F)**: 16.666 states/eV/cell
**Uncorrected energy**: -4.6656 eV/atom

```
data_Nd3TlSn2
_cell_length_a 17.2646
_cell_length_b 6.5359
_cell_length_c 6.4138
_cell_angle_alpha 90.00
_cell_angle_beta 101.75
_cell_angle_gamma 90.00
_symmetry_space_group_name_H-M 'C 1 2/c 1'
_symmetry_Int_Tables_number 15
loop_
_symmetry_equiv_pos_as_xyz
'x,y,z'
'-x,-y,-z'
'-x,y,-z+1/2'
'x,-y,z+1/2'
'x+1/2,y+1/2,z'
'-x+1/2,-y+1/2,-z'
'-x+1/2,y+1/2,-z+1/2'
'x+1/2,-y+1/2,z+1/2'
loop_
_atom_site_label
_atom_site_fract_x
_atom_site_fract_y
_atom_site_fract_z
Nd1 0.0000 0.1335 0.2500
Nd2 0.1730 0.3848 0.6057
Tl1 0.0000 0.3720 0.7500
Sn1 0.1602 0.1073 0.0628
```